No. 1
Here is a relaxed structure of Rb2PmCrO6 from the Alexandria database. Energies are from GGA+U.

Geometry as CIF:
```
data_Rb2PmCrO6
_chemical_formula_sum 'Rb2 Pm1 Cr1 O6'
_cell_length_a 6.4475
_cell_length_b 6.4475
_cell_length_c 5.8567
_cell_angle_alpha 90.00
_cell_angle_beta 90.00
_cell_angle_gamma 120.00
_space_group_name_H-M_alt 'P -3 m 1'
_space_group_IT_number 164
_space_group_name_Hall '-P 3 2"'
loop_
_atom_site_label
_atom_site_fract_x
_atom_site_fract_y
_atom_site_fract_z
Rb1 0.3333 0.6667 0.3916
Pm1 0.0000 0.0000 0.0000
Cr1 0.0000 0.0000 0.5000
O1 0.1326 0.2652 0.6905
```

Values from the calculation:
- crystal system = trigonal

---

No. 2
Here is a relaxed structure of PmCrReO6 from the Alexandria database. Energies are from GGA+U.

Geometry as CIF:
```
data_PmCrReO6
_chemical_formula_sum 'Pm2 Cr2 Re2 O12'
_cell_length_a 5.2030
_cell_length_b 5.2030
_cell_length_c 10.0811
_cell_angle_alpha 90.00
_cell_angle_beta 90.00
_cell_angle_gamma 120.00
_space_group_name_H-M_alt 'P -3 1 c'
_space_group_IT_number 163
_space_group_name_Hall '-P 3 2c'
loop_
_atom_site_label
_atom_site_fract_x
_atom_site_fract_y
_atom_site_fract_z
Pm1 0.0000 0.0000 0.0000
Cr1 0.3333 0.6667 0.2500
Re1 0.3333 0.6667 0.7500
O1 0.0115 0.3700 0.6432
```

Values from the calculation:
- crystal system = trigonal

---

No. 3
Here is a relaxed structure of PmCr2ReO8 from the Alexandria database. Energies are from GGA+U.

Geometry as CIF:
```
data_PmCr2ReO8
_chemical_formula_sum 'Pm2 Cr4 Re2 O16'
_cell_length_a 6.650
_cell_length_b 6.788
_cell_length_c 6.488
_cell_angle_alpha 90.00
_cell_angle_beta 90.00
_cell_angle_gamma 90.00
_space_group_name_H-M_alt 'C m m m'
_space_group_IT_number 65
_space_group_name_Hall '-C 2 2'
loop_
_atom_site_label
_atom_site_fract_x
_atom_site_fract_y
_atom_site_fract_z
Pm1 0.000 0.000 0.000
Cr1 0.000 0.500 0.248
Re1 0.000 0.000 0.500
O1 0.000 0.287 0.500
O2 0.000 0.328 0.000
O3 0.200 0.000 0.293
```

Values from the calculation:
- crystal system = orthorhombic

---

No. 4
Here is a relaxed structure of PmCrRhO6 from the Alexandria database. Energies are from GGA+U.

Geometry as CIF:
```
data_PmCrRhO6
_chemical_formula_sum 'Pm2 Cr2 Rh2 O12'
_cell_length_a 5.1651
_cell_length_b 5.1651
_cell_length_c 10.0383
_cell_angle_alpha 90.00
_cell_angle_beta 90.00
_cell_angle_gamma 120.00
_space_group_name_H-M_alt 'P -3 1 c'
_space_group_IT_number 163
_space_group_name_Hall '-P 3 2c'
loop_
_atom_site_label
_atom_site_fract_x
_atom_site_fract_y
_atom_site_fract_z
Pm1 0.0000 0.0000 0.0000
Cr1 0.3333 0.6667 0.2500
Rh1 0.3333 0.6667 0.7500
O1 0.0020 0.3696 0.1422
```

Values from the calculation:
- crystal system = trigonal

---

No. 5
Here is a relaxed structure of PmCr2RhO6 from the Alexandria database. Energies are from GGA+U.

Geometry as CIF:
```
data_PmCr2RhO6
_chemical_formula_sum 'Pm3 Cr6 Rh3 O18'
_cell_length_a 5.3704
_cell_length_b 5.3704
_cell_length_c 13.9325
_cell_angle_alpha 90.00
_cell_angle_beta 90.00
_cell_angle_gamma 120.00
_space_group_name_H-M_alt 'R 3'
_space_group_IT_number 146
_space_group_name_Hall 'R 3'
loop_
_atom_site_label
_atom_site_fract_x
_atom_site_fract_y
_atom_site_fract_z
Pm1 0.0000 0.0000 0.0000
Cr1 0.0000 0.0000 0.2634
Cr2 0.0000 0.0000 0.7768
Rh1 0.0000 0.0000 0.4637
O1 0.0102 0.3743 0.5290
O2 0.0200 0.5977 0.0336
```

Values from the calculation:
- crystal system = trigonal

---

No. 6
Here is a relaxed structure of Pm2CrRhO6 from the Alexandria database. Energies are from GGA+U.

Geometry as CIF:
```
data_Pm2CrRhO6
_chemical_formula_sum 'Pm4 Cr2 Rh2 O12'
_cell_length_a 5.417
_cell_length_b 5.754
_cell_length_c 9.433
_cell_angle_alpha 90.00
_cell_angle_beta 124.32
_cell_angle_gamma 90.00
_space_group_name_H-M_alt 'P 1 21/c 1'
_space_group_IT_number 14
loop_
_space_group_symop_operation_xyz
'x,y,z'
'-x,-y,-z'
'-x,y+1/2,-z+1/2'
'x,-y+1/2,z+1/2'
loop_
_atom_site_label
_atom_site_fract_x
_atom_site_fract_y
_atom_site_fract_z
Pm1 0.230 0.069 0.250
Cr1 0.500 0.000 0.000
Rh1 0.000 0.000 0.500
O1 0.144 0.194 0.948
O2 0.256 0.704 0.945
O3 0.360 0.035 0.753
```

Values from the calculation:
- crystal system = monoclinic

---

No. 7
Here is a relaxed structure of PmCrRuO6 from the Alexandria database. Energies are from GGA+U.

Geometry as CIF:
```
data_PmCrRuO6
_chemical_formula_sum 'Pm2 Cr2 Ru2 O12'
_cell_length_a 5.1770
_cell_length_b 5.1770
_cell_length_c 10.0546
_cell_angle_alpha 90.00
_cell_angle_beta 90.00
_cell_angle_gamma 120.00
_space_group_name_H-M_alt 'P -3 1 c'
_space_group_IT_number 163
_space_group_name_Hall '-P 3 2c'
loop_
_atom_site_label
_atom_site_fract_x
_atom_site_fract_y
_atom_site_fract_z
Pm1 0.0000 0.0000 0.0000
Cr1 0.3333 0.6667 0.2500
Ru1 0.3333 0.6667 0.7500
O1 0.0072 0.3698 0.6428
```

Values from the calculation:
- crystal system = trigonal

---

No. 8
Here is a relaxed structure of Pm2CrRuO8 from the Alexandria database. Energies are from GGA+U.

Geometry as CIF:
```
data_Pm2CrRuO8
_chemical_formula_sum 'Pm2 Cr1 Ru1 O8'
_cell_length_a 4.671
_cell_length_b 4.901
_cell_length_c 6.728
_cell_angle_alpha 90.03
_cell_angle_beta 90.19
_cell_angle_gamma 93.42
_space_group_name_H-M_alt 'P -1'
_space_group_IT_number 2
loop_
_space_group_symop_operation_xyz
'x,y,z'
'-x,-y,-z'
loop_
_atom_site_label
_atom_site_fract_x
_atom_site_fract_y
_atom_site_fract_z
Pm1 0.092 0.056 0.244
Cr1 0.500 0.500 0.000
Ru1 0.500 0.500 0.500
O1 0.212 0.248 0.550
O2 0.218 0.227 0.950
O3 0.294 0.625 0.248
O4 0.372 0.729 0.741
```

Values from the calculation:
- crystal system = triclinic

---

No. 9
Here is a relaxed structure of Pm2CrS2O2 from the Alexandria database. Energies are from GGA+U.

Geometry as CIF:
```
data_Pm2CrS2O2
_chemical_formula_sum 'Pm4 Cr2 S4 O4'
_cell_length_a 11.391
_cell_length_b 3.834
_cell_length_c 6.800
_cell_angle_alpha 90.00
_cell_angle_beta 121.22
_cell_angle_gamma 90.00
_space_group_name_H-M_alt 'C 1 2/m 1'
_space_group_IT_number 12
loop_
_space_group_symop_operation_xyz
'x,y,z'
'-x,-y,-z'
'-x,y,-z'
'x,-y,z'
'x+1/2,y+1/2,z'
'-x+1/2,-y+1/2,-z'
'-x+1/2,y+1/2,-z'
'x+1/2,-y+1/2,z'
loop_
_atom_site_label
_atom_site_fract_x
_atom_site_fract_y
_atom_site_fract_z
Pm1 0.191 0.000 0.233
Cr1 0.000 0.000 0.500
S1 0.064 0.500 0.824
O1 0.197 0.000 0.583
```

Values from the calculation:
- crystal system = monoclinic

---

No. 10
Here is a relaxed structure of PmCrSO2 from the Alexandria database. Energies are from GGA+U.

Geometry as CIF:
```
data_PmCrSO2
_chemical_formula_sum 'Pm1 Cr1 S1 O2'
_cell_length_a 3.912
_cell_length_b 3.912
_cell_length_c 5.374
_cell_angle_alpha 90.00
_cell_angle_beta 90.00
_cell_angle_gamma 90.00
_space_group_name_H-M_alt 'P 4 m m'
_space_group_IT_number 99
loop_
_space_group_symop_operation_xyz
'x,y,z'
'-y,x,z'
'-x,-y,z'
'y,-x,z'
'-x,y,z'
'y,x,z'
'x,-y,z'
'-y,-x,z'
loop_
_atom_site_label
_atom_site_fract_x
_atom_site_fract_y
_atom_site_fract_z
Pm1 0.000 0.000 0.000
Cr1 0.500 0.500 0.334
S1 0.500 0.500 0.774
O1 0.000 0.500 0.252
```

Values from the calculation:
- crystal system = tetragonal

---

No. 11
Here is a relaxed structure of PmCrSbO6 from the Alexandria database. Energies are from GGA+U.

Geometry as CIF:
```
data_PmCrSbO6
_chemical_formula_sum 'Pm2 Cr2 Sb2 O12'
_cell_length_a 5.2037
_cell_length_b 5.2037
_cell_length_c 10.1436
_cell_angle_alpha 90.00
_cell_angle_beta 90.00
_cell_angle_gamma 120.00
_space_group_name_H-M_alt 'P -3 1 c'
_space_group_IT_number 163
_space_group_name_Hall '-P 3 2c'
loop_
_atom_site_label
_atom_site_fract_x
_atom_site_fract_y
_atom_site_fract_z
Pm1 0.0000 0.0000 0.0000
Cr1 0.3333 0.6667 0.2500
Sb1 0.3333 0.6667 0.7500
O1 0.0086 0.3690 0.1430
```

Values from the calculation:
- crystal system = trigonal

---

No. 12
Here is a relaxed structure of Pm2CrSbO8 from the Alexandria database. Energies are from GGA+U.

Geometry as CIF:
```
data_Pm2CrSbO8
_chemical_formula_sum 'Pm2 Cr1 Sb1 O8'
_cell_length_a 4.897
_cell_length_b 4.906
_cell_length_c 6.665
_cell_angle_alpha 90.25
_cell_angle_beta 90.26
_cell_angle_gamma 93.26
_space_group_name_H-M_alt 'P -1'
_space_group_IT_number 2
loop_
_space_group_symop_operation_xyz
'x,y,z'
'-x,-y,-z'
loop_
_atom_site_label
_atom_site_fract_x
_atom_site_fract_y
_atom_site_fract_z
Pm1 0.060 0.058 0.253
Cr1 0.500 0.500 0.500
Sb1 0.500 0.500 0.000
O1 0.211 0.213 0.961
O2 0.243 0.245 0.543
O3 0.287 0.636 0.252
O4 0.365 0.715 0.748
```

Values from the calculation:
- crystal system = triclinic

---

Total energy? In order: -59.60 -148.24 -191.80 -129.49 -228.57 -156.54 -135.89 -89.21 -103.18 -37.40 -129.83 -85.98 eV for the cell shown.